Entry 1:
Here is a geometry-optimized Ba4BiAsO structure from the Alexandria database. Energies are from PBE.

Structure (POSCAR):
```
Ba4BiAsO
1.0
3.728 -9.158 0.000
3.728 9.158 0.000
0.000 0.000 7.510
Ba Bi As O
8 2 2 2
Direct
0.000 0.500 0.000 Ba
0.000 0.500 0.500 Ba
0.063 0.937 0.750 Ba
0.414 0.586 0.750 Ba
0.500 0.000 0.000 Ba
0.500 0.000 0.500 Ba
0.586 0.414 0.250 Ba
0.937 0.063 0.250 Ba
0.391 0.609 0.250 Bi
0.609 0.391 0.750 Bi
0.118 0.882 0.250 As
0.882 0.118 0.750 As
0.266 0.734 0.750 O
0.734 0.266 0.250 O
```

Computed properties:
- Formation energy (no corrections): -1442 meV per atom

---

Entry 2:
Here is a geometry-optimized AcGe2Pb structure from the Alexandria database. Energies are from PBE.

Structure (POSCAR):
```
AcGe2Pb
1.0
0.000 3.816 3.816
3.816 0.000 3.816
3.816 3.816 0.000
Ac Ge Pb
1 2 1
Direct
0.000 0.000 0.000 Ac
0.250 0.250 0.250 Ge
0.750 0.750 0.750 Ge
0.500 0.500 0.500 Pb
```

Computed properties:
- E_form: -176 meV/atom
- Fermi-level density of states: 4.43 states/eV/f.u.

---

Entry 3:
Here is a geometry-optimized RbGaAg structure from the Alexandria database. Energies are from PBE.

Structure (POSCAR):
```
RbGaAg
1.0
5.263 0.000 0.000
0.000 4.876 0.000
-0.752 0.000 7.137
Rb Ga Ag
2 2 2
Direct
0.239 0.250 0.388 Rb
0.761 0.750 0.612 Rb
0.367 0.750 0.035 Ga
0.633 0.250 0.965 Ga
0.123 0.250 0.912 Ag
0.877 0.750 0.088 Ag
```

Computed properties:
- E_form: -3 meV/atom
- Fermi-level density of states: 0.83 states/eV/f.u.

---

Entry 4:
Here is a geometry-optimized Mo3AsPb structure from the Alexandria database. Energies are from PBE.

Structure (POSCAR):
```
Mo3AsPb
1.0
5.022 0.000 0.000
0.000 5.022 0.000
0.000 0.000 5.022
Mo As Pb
3 1 1
Direct
0.000 0.000 0.500 Mo
0.000 0.500 0.000 Mo
0.500 0.000 0.000 Mo
0.500 0.500 0.500 As
0.000 0.000 0.000 Pb
```

Computed properties:
- E_form: 2658 meV/atom
- Fermi-level density of states: 12.08 states/eV/f.u.

---

Entry 5:
Here is a geometry-optimized Ho5Er2Al4 structure from the Alexandria database. Energies are from PBE.

Structure (POSCAR):
```
Ho5Er2Al4
1.0
-1.661 4.930 9.068
1.661 -4.930 9.068
1.661 4.930 -9.068
Ho Er Al
5 2 4
Direct
0.000 0.000 0.000 Ho
0.154 0.319 0.835 Ho
0.484 0.319 0.165 Ho
0.516 0.681 0.835 Ho
0.846 0.681 0.165 Ho
0.170 0.670 0.500 Er
0.830 0.330 0.500 Er
0.291 0.500 0.791 Al
0.430 0.930 0.500 Al
0.570 0.070 0.500 Al
0.709 0.500 0.209 Al
```

Computed properties:
- E_form: 63 meV/atom
- Fermi-level density of states: 12.20 states/eV/f.u.

---

Entry 6:
Here is a geometry-optimized RbGaSn structure from the Alexandria database. Energies are from PBE.

Structure (POSCAR):
```
RbGaSn
1.0
5.180 0.000 0.000
-2.590 4.486 0.000
0.000 0.000 7.913
Rb Ga Sn
2 2 2
Direct
0.000 0.000 0.000 Rb
0.000 0.000 0.500 Rb
0.667 0.333 0.183 Ga
0.667 0.333 0.817 Ga
0.333 0.667 0.287 Sn
0.333 0.667 0.713 Sn
```

Computed properties:
- E_form: -31 meV/atom
- Fermi-level density of states: 0.14 states/eV/f.u.

---

Entry 7:
Here is a geometry-optimized Ba2SiRu structure from the Alexandria database. Energies are from PBE.

Structure (POSCAR):
```
Ba2SiRu
1.0
-2.091 2.421 6.711
2.091 -2.421 6.711
2.091 2.421 -6.711
Ba Si Ru
2 1 1
Direct
0.000 0.000 0.000 Ba
0.737 0.237 0.500 Ba
0.416 0.416 0.000 Si
0.340 0.840 0.500 Ru
```

Computed properties:
- Fermi-level density of states: 2.44 states/eV/f.u.
- Formation energy (no corrections): -92 meV per atom

---

Entry 8:
Here is a geometry-optimized BiRu structure from the Alexandria database. Energies are from PBE.

Structure (POSCAR):
```
BiRu
1.0
-4.054 4.054 4.054
4.054 -4.054 4.054
4.054 4.054 -4.054
Bi Ru
4 4
Direct
0.000 0.000 0.392 Bi
0.000 0.392 0.000 Bi
0.392 0.000 0.000 Bi
0.608 0.608 0.608 Bi
0.000 0.000 0.763 Ru
0.000 0.763 0.000 Ru
0.237 0.237 0.237 Ru
0.763 0.000 0.000 Ru
```

Computed properties:
- E_form: 598 meV/atom
- Fermi-level density of states: 2.16 states/eV/f.u.

---

Looking at ρ for the records above, in order, we have 5.50 8.66 4.77 7.47 7.08 4.95 4.93 7.73 g/cm3.